(1)
This record from Alexandria describes a relaxed NaCa2MgTi crystal. The functional is PBE.

Results
M_tot: 0.19 μB per formula unit
DFT total energy: -1.980 eV per atom
Symmetry: P4/mmm
DFT formation energy: 0.9819 eV/atom

Unit cell a=5.9837 b=5.9837 c=5.3587 alpha=90.00 beta=90.00 gamma=90.00
With the nearest neighbours (Å) after each atom.
Atoms (fractional coordinates):
Na: 0.0000 0.0000 0.0000  2 Mg 2.68
Ca: 0.0000 0.5000 0.5000  2 Mg 2.99
Ca: 0.5000 0.0000 0.5000  2 Mg 2.99
Mg: 0.0000 0.0000 0.5000  2 Na 2.68, 4 Ca 2.99
Ti: 0.5000 0.5000 0.0000  8 Ca 4.02, 4 Na 4.23

---

(2)
This record from Alexandria describes a relaxed CoRhAu2 crystal. The functional is PBE.

Results
M_tot: 2.72 μB per formula unit
DFT total energy: -5.153 eV per atom
Symmetry: P4mm
Polymorph energy (0 for the lowest one): 0.000 eV/atom
DFT formation energy: 0.0999 eV/atom

Unit cell a=2.8218 b=2.8218 c=7.7818 alpha=90.00 beta=90.00 gamma=90.00
With the nearest neighbours (Å) after each atom.
Atoms (fractional coordinates):
Co: 0.0000 0.0000 0.0000  4 Rh 2.52, 4 Au 2.76, 4 Co 2.82
Rh: 0.5000 0.5000 0.1985  4 Co 2.52, 4 Rh 2.82
Au: 0.0000 0.0000 0.4680  8 Au 2.82-3.00, 4 Rh 2.89
Au: 0.5000 0.5000 0.7557  4 Co 2.76, 8 Au 2.82-3.00

---

(3)
This record from Alexandria describes a relaxed Ac4TeAs2O2 crystal. The functional is PBE.

Results
M_tot: 0.00 μB per formula unit
DFT total energy: -6.417 eV per atom
Symmetry: C2/m
Uncorrected formation energy: -2106 meV per atom

Unit cell a=8.7356 b=8.7356 c=8.9535 alpha=118.92 beta=118.92 gamma=28.01
With the nearest neighbours (Å) after each atom.
Atoms (fractional coordinates):
Ac: 0.0152 0.0152 0.3108  1 O 2.50
Ac: 0.2675 0.2675 0.6968  3 O 2.45-2.55
Ac: 0.7325 0.7325 0.3032  3 O 2.45-2.55
Ac: 0.9848 0.9848 0.6892  1 O 2.50
Te: 0.5000 0.5000 0.0000  6 Ac 3.40-3.50
As: 0.3813 0.3813 0.3371  6 Ac 3.19-3.46
As: 0.6187 0.6187 0.6629  6 Ac 3.19-3.46
O: 0.1775 0.1775 0.3820  4 Ac 2.45-2.55
O: 0.8225 0.8225 0.6180  4 Ac 2.45-2.55

---

(4)
This record from Alexandria describes a relaxed Tb8SmTm6 crystal. The functional is PBE.

Results
M_tot: 0.00 μB per formula unit
DFT total energy: -4.438 eV per atom
Symmetry: R-3
DFT formation energy: 0.1351 eV/atom

Unit cell a=8.5815 b=8.5815 c=8.5815 alpha=63.00 beta=63.00 gamma=63.00
With the nearest neighbours (Å) after each atom.
Atoms (fractional coordinates):
Tb: 0.0768 0.0768 0.0768  4 Tb 3.15-3.39, 3 Tm 3.32
Tb: 0.2193 0.6108 0.2461  3 Tm 3.39-3.77, 5 Tb 3.39-3.40, 1 Sm 3.50
Tb: 0.2461 0.2193 0.6108  3 Tm 3.39-3.77, 5 Tb 3.39-3.40, 1 Sm 3.50
Tb: 0.3892 0.7539 0.7807  3 Tm 3.39-3.77, 5 Tb 3.39-3.40, 1 Sm 3.50
Tb: 0.6108 0.2461 0.2193  3 Tm 3.39-3.77, 5 Tb 3.39-3.40, 1 Sm 3.50
Tb: 0.7539 0.7807 0.3892  3 Tm 3.39-3.77, 5 Tb 3.39-3.40, 1 Sm 3.50
Tb: 0.7807 0.3892 0.7539  3 Tm 3.39-3.77, 5 Tb 3.39-3.40, 1 Sm 3.50
Tb: 0.9232 0.9232 0.9232  4 Tb 3.15-3.39, 3 Tm 3.32
Sm: 0.5000 0.5000 0.5000  6 Tm 3.43, 6 Tb 3.50
Tm: 0.0382 0.6042 0.7388  3 Tb 3.32-3.40, 1 Sm 3.43, 4 Tm 3.45-3.71
Tm: 0.2612 0.9618 0.3958  3 Tb 3.32-3.40, 1 Sm 3.43, 4 Tm 3.45-3.71
Tm: 0.3958 0.2612 0.9618  3 Tb 3.32-3.40, 1 Sm 3.43, 4 Tm 3.45-3.71
Tm: 0.6042 0.7388 0.0382  3 Tb 3.32-3.40, 1 Sm 3.43, 4 Tm 3.45-3.71
Tm: 0.7388 0.0382 0.6042  3 Tb 3.32-3.40, 1 Sm 3.43, 4 Tm 3.45-3.71
Tm: 0.9618 0.3958 0.2612  3 Tb 3.32-3.40, 1 Sm 3.43, 4 Tm 3.45-3.71

---

(5)
This record from Alexandria describes a relaxed Te2PtW crystal. The functional is PBE.

Results
M_tot: 0.00 μB per formula unit
DFT total energy: -5.691 eV per atom
Symmetry: Fm-3m
Polymorph energy (0 for the lowest one): 0.577 eV/atom
Uncorrected formation energy: 628 meV per atom

Unit cell a=4.8230 b=4.8230 c=4.8230 alpha=60.00 beta=60.00 gamma=60.00
With the nearest neighbours (Å) after each atom.
Atoms (fractional coordinates):
Te: 0.2500 0.2500 0.2500  4 W 2.95, 4 Pt 2.95
Te: 0.7500 0.7500 0.7500  4 Pt 2.95, 4 W 2.95
Pt: 0.0000 0.0000 0.0000  8 Te 2.95
W: 0.5000 0.5000 0.5000  8 Te 2.95

---

(6)
This record from Alexandria describes a relaxed KCa2SmTe4 crystal. The functional is PBE.

Results
M_tot: 0.00 μB per formula unit
DFT total energy: -4.262 eV per atom
Symmetry: P2/m
Uncorrected formation energy: -1464 meV per atom

Unit cell a=7.8658 b=4.5770 c=8.0306 alpha=90.00 beta=108.45 gamma=90.00
With the nearest neighbours (Å) after each atom.
Atoms (fractional coordinates):
K: 0.0000 0.0000 0.0000  6 Te 3.31-3.38
Ca: 0.5000 0.0000 0.5000  6 Te 3.14-3.15
Ca: 0.5000 0.5000 0.0000  6 Te 3.29-3.30
Sm: 0.0000 0.5000 0.5000  6 Te 3.17-3.22
Te: 0.2505 0.0000 0.7375  3 Ca 3.14-3.30, 2 Sm 3.22, 1 K 3.31
Te: 0.2625 0.5000 0.2709  3 Ca 3.15-3.29, 1 Sm 3.17, 2 K 3.38
Te: 0.7375 0.5000 0.7291  3 Ca 3.15-3.29, 1 Sm 3.17, 2 K 3.38
Te: 0.7495 0.0000 0.2625  3 Ca 3.14-3.30, 2 Sm 3.22, 1 K 3.31

---

(7)
This record from Alexandria describes a relaxed Zr2FeP crystal. The functional is PBE.

Results
M_tot: 0.93 μB per formula unit
DFT total energy: -8.561 eV per atom
Symmetry: Amm2
DFT formation energy: -0.8188 eV/atom

Unit cell a=3.7728 b=5.2673 c=5.2673 alpha=40.01 beta=90.00 gamma=90.00
With the nearest neighbours (Å) after each atom.
Atoms (fractional coordinates):
Zr: 0.0000 0.0000 0.0000  4 Fe 2.70, 3 P 2.80-2.81
Zr: 0.5000 0.2874 0.2874  4 P 2.70, 3 Fe 2.80-2.81
Fe: 0.5000 0.5702 0.5702  2 P 2.38
P: 0.0000 0.7161 0.7161  2 Fe 2.38

---

(8)
This record from Alexandria describes a relaxed In2FeRh crystal. The functional is PBE.

Results
M_tot: 2.63 μB per formula unit
DFT total energy: -5.322 eV per atom
Symmetry: Cm
DFT formation energy: 0.0004 eV/atom

Unit cell a=5.2890 b=5.2890 c=4.6959 alpha=106.79 beta=106.79 gamma=33.30
With the nearest neighbours (Å) after each atom.
Atoms (fractional coordinates):
In: 0.0000 0.0000 0.0000  4 Rh 2.81-2.82, 3 Fe 2.85-2.87, 2 In 3.03
In: 0.2176 0.2176 0.6422  4 Fe 2.80-2.82, 3 Rh 2.84-2.87, 2 In 3.03
Fe: 0.7495 0.7495 0.1655  2 Rh 2.69, 7 In 2.80-2.87
Rh: 0.4648 0.4648 0.4757  2 Fe 2.69, 7 In 2.81-2.87

---

(9)
This record from Alexandria describes a relaxed TiMn2TcAs crystal. The functional is PBE.

Results
M_tot: 1.98 μB per formula unit
DFT total energy: -6.874 eV per atom
Symmetry: P4/mmm
DFT formation energy: 1.3757 eV/atom

Unit cell a=4.1960 b=4.1960 c=4.7003 alpha=90.00 beta=90.00 gamma=90.00
With the nearest neighbours (Å) after each atom.
Atoms (fractional coordinates):
Ti: 0.0000 0.0000 0.0000  4 Mn 2.10
Mn: 0.0000 0.5000 0.0000  2 Ti 2.10
Mn: 0.5000 0.0000 0.0000  2 Ti 2.10
Tc: 0.5000 0.5000 0.5000  4 As 2.97, 8 Mn 3.15
As: 0.0000 0.0000 0.5000  2 Ti 2.35

---

(10)
This record from Alexandria describes a relaxed Cd12Sb5Te3 crystal. The functional is PBE.

Results
M_tot: 0.00 μB per formula unit
DFT total energy: -2.050 eV per atom
Symmetry: Ia-3d
Uncorrected formation energy: 1 meV per atom

Unit cell a=14.9719 b=14.9719 c=14.9719 alpha=109.47 beta=109.47 gamma=109.47
With the nearest neighbours (Å) after each atom.
Atoms (fractional coordinates):
Cd: 0.0540 0.2250 0.1330  2 Sb 2.80-2.93, 1 Te 3.11
Cd: 0.0540 0.3289 0.9210  2 Sb 2.80-2.93, 1 Te 3.11
Cd: 0.0790 0.6330 0.4079  2 Sb 2.80-2.93, 1 Te 3.11
Cd: 0.0790 0.9460 0.6711  2 Sb 2.80-2.93, 1 Te 3.11
Cd: 0.0921 0.7250 0.6711  2 Sb 2.80-2.93, 1 Te 3.11
Cd: 0.0921 0.8670 0.4210  2 Sb 2.80-2.93, 1 Te 3.11
Cd: 0.1330 0.0540 0.2250  2 Sb 2.80-2.93, 1 Te 3.11
Cd: 0.1330 0.5790 0.9079  2 Sb 2.80-2.93, 1 Te 3.11
Cd: 0.1711 0.2250 0.5921  2 Sb 2.80-2.93, 1 Te 3.11
Cd: 0.1711 0.4460 0.5790  2 Sb 2.80-2.93, 1 Te 3.11
Cd: 0.2250 0.1330 0.0540  2 Sb 2.80-2.93, 1 Te 3.11
Cd: 0.2250 0.5921 0.1711  2 Sb 2.80-2.93, 1 Te 3.11
Cd: 0.2750 0.3289 0.9079  2 Sb 2.80-2.93, 1 Te 3.11
Cd: 0.2750 0.4460 0.3670  2 Sb 2.80-2.93, 1 Te 3.11
Cd: 0.3289 0.9079 0.2750  2 Sb 2.80-2.93, 1 Te 3.11
Cd: 0.3289 0.9210 0.0540  2 Sb 2.80-2.93, 1 Te 3.11
Cd: 0.3670 0.2750 0.4460  2 Sb 2.80-2.93, 1 Te 3.11
Cd: 0.3670 0.5921 0.9210  2 Sb 2.80-2.93, 1 Te 3.11
Cd: 0.4079 0.0790 0.6330  2 Sb 2.80-2.93, 1 Te 3.11
Cd: 0.4079 0.8289 0.7750  2 Sb 2.80-2.93, 1 Te 3.11
Cd: 0.4210 0.0921 0.8670  2 Sb 2.80-2.93, 1 Te 3.11
Cd: 0.4210 0.8289 0.5540  2 Sb 2.80-2.93, 1 Te 3.11
Cd: 0.4460 0.3670 0.2750  2 Sb 2.80-2.93, 1 Te 3.11
Cd: 0.4460 0.5790 0.1711  2 Sb 2.80-2.93, 1 Te 3.11
Cd: 0.5540 0.4210 0.8289  2 Sb 2.80-2.93, 1 Te 3.11
Cd: 0.5540 0.6330 0.7250  2 Sb 2.80-2.93, 1 Te 3.11
Cd: 0.5790 0.1711 0.4460  2 Sb 2.80-2.93, 1 Te 3.11
Cd: 0.5790 0.9079 0.1330  2 Sb 2.80-2.93, 1 Te 3.11
Cd: 0.5921 0.1711 0.2250  2 Sb 2.80-2.93, 1 Te 3.11
Cd: 0.5921 0.9210 0.3670  2 Sb 2.80-2.93, 1 Te 3.11
Cd: 0.6330 0.4079 0.0790  2 Sb 2.80-2.93, 1 Te 3.11
Cd: 0.6330 0.7250 0.5540  2 Sb 2.80-2.93, 1 Te 3.11
Cd: 0.6711 0.0790 0.9460  2 Sb 2.80-2.93, 1 Te 3.11
Cd: 0.6711 0.0921 0.7250  2 Sb 2.80-2.93, 1 Te 3.11
Cd: 0.7250 0.5540 0.6330  2 Sb 2.80-2.93, 1 Te 3.11
Cd: 0.7250 0.6711 0.0921  2 Sb 2.80-2.93, 1 Te 3.11
Cd: 0.7750 0.4079 0.8289  2 Sb 2.80-2.93, 1 Te 3.11
Cd: 0.7750 0.8670 0.9460  2 Sb 2.80-2.93, 1 Te 3.11
Cd: 0.8289 0.5540 0.4210  2 Sb 2.80-2.93, 1 Te 3.11
Cd: 0.8289 0.7750 0.4079  2 Sb 2.80-2.93, 1 Te 3.11
Cd: 0.8670 0.4210 0.0921  2 Sb 2.80-2.93, 1 Te 3.11
Cd: 0.8670 0.9460 0.7750  2 Sb 2.80-2.93, 1 Te 3.11
Cd: 0.9079 0.1330 0.5790  2 Sb 2.80-2.93, 1 Te 3.11
Cd: 0.9079 0.2750 0.3289  2 Sb 2.80-2.93, 1 Te 3.11
Cd: 0.9210 0.0540 0.3289  2 Sb 2.80-2.93, 1 Te 3.11
Cd: 0.9210 0.3670 0.5921  2 Sb 2.80-2.93, 1 Te 3.11
Cd: 0.9460 0.6711 0.0790  2 Sb 2.80-2.93, 1 Te 3.11
Cd: 0.9460 0.7750 0.8670  2 Sb 2.80-2.93, 1 Te 3.11
Sb: 0.0000 0.0000 0.0000  6 Cd 2.93
Sb: 0.0000 0.0000 0.5000  6 Cd 2.93
Sb: 0.0000 0.5000 0.0000  6 Cd 2.93
Sb: 0.0000 0.5000 0.5000  6 Cd 2.93
Sb: 0.1250 0.7500 0.8750  4 Cd 2.80
Sb: 0.1250 0.8750 0.2500  4 Cd 2.80
Sb: 0.2500 0.1250 0.8750  4 Cd 2.80
Sb: 0.2500 0.6250 0.3750  4 Cd 2.80
Sb: 0.3750 0.2500 0.6250  4 Cd 2.80
Sb: 0.3750 0.6250 0.7500  4 Cd 2.80
Sb: 0.5000 0.0000 0.0000  6 Cd 2.93
Sb: 0.5000 0.0000 0.5000  6 Cd 2.93
Sb: 0.5000 0.5000 0.0000  6 Cd 2.93
Sb: 0.5000 0.5000 0.5000  6 Cd 2.93
Sb: 0.6250 0.3750 0.2500  4 Cd 2.80
Sb: 0.6250 0.7500 0.3750  4 Cd 2.80
Sb: 0.7500 0.3750 0.6250  4 Cd 2.80
Sb: 0.7500 0.8750 0.1250  4 Cd 2.80
Sb: 0.8750 0.1250 0.7500  4 Cd 2.80
Sb: 0.8750 0.2500 0.1250  4 Cd 2.80
Te: 0.1250 0.2500 0.3750  8 Cd 3.11-3.27
Te: 0.1250 0.3750 0.7500  8 Cd 3.11-3.27
Te: 0.2500 0.3750 0.1250  8 Cd 3.11-3.27
Te: 0.2500 0.8750 0.6250  8 Cd 3.11-3.27
Te: 0.3750 0.1250 0.2500  8 Cd 3.11-3.27
Te: 0.3750 0.7500 0.1250  8 Cd 3.11-3.27
Te: 0.6250 0.2500 0.8750  8 Cd 3.11-3.27
Te: 0.6250 0.8750 0.7500  8 Cd 3.11-3.27
Te: 0.7500 0.1250 0.3750  8 Cd 3.11-3.27
Te: 0.7500 0.6250 0.8750  8 Cd 3.11-3.27
Te: 0.8750 0.6250 0.2500  8 Cd 3.11-3.27
Te: 0.8750 0.7500 0.6250  8 Cd 3.11-3.27

---

(11)
This record from Alexandria describes a relaxed KRb2Ag crystal. The functional is PBE.

Results
M_tot: 0.00 μB per formula unit
DFT total energy: -1.400 eV per atom
Symmetry: R3m
DFT formation energy: 0.0706 eV/atom

Unit cell a=12.5856 b=12.5856 c=12.5856 alpha=22.70 beta=22.70 gamma=22.70
With the nearest neighbours (Å) after each atom.
Atoms (fractional coordinates):
K: 0.0000 0.0000 0.0000  6 Rb 4.88-4.91, 6 K 4.95
Rb: 0.5580 0.5580 0.5580  3 Ag 3.58
Rb: 0.7742 0.7742 0.7742  3 Ag 3.58
Ag: 0.1661 0.1661 0.1661  6 Rb 3.58

---

(12)
This record from Alexandria describes a relaxed Ac2Ga3Au crystal. The functional is PBE.

Results
M_tot: 0.00 μB per formula unit
DFT total energy: -4.113 eV per atom
Symmetry: Fmmm
DFT formation energy: -0.6836 eV/atom

Unit cell a=9.0674 b=9.0162 c=6.3560 alpha=69.86 beta=68.99 gamma=41.15
With the nearest neighbours (Å) after each atom.
Atoms (fractional coordinates):
Ac: 0.2364 0.7636 0.7636  2 Au 3.37, 10 Ga 3.40-3.46
Ac: 0.2500 0.2500 0.2500  4 Au 3.43, 8 Ga 3.45-3.47
Ac: 0.7500 0.7500 0.7500  4 Au 3.43, 8 Ga 3.45-3.47
Ac: 0.7636 0.2364 0.2364  2 Au 3.37, 10 Ga 3.40-3.46
Ga: 0.1765 0.6606 0.3394  2 Ga 2.54-2.56, 1 Au 2.71
Ga: 0.3381 0.3381 0.6619  2 Ga 2.54, 1 Au 2.66
Ga: 0.3394 0.8235 0.1765  2 Ga 2.54-2.56, 1 Au 2.71
Ga: 0.6606 0.1765 0.8235  2 Ga 2.54-2.56, 1 Au 2.71
Ga: 0.6619 0.6619 0.3381  2 Ga 2.54, 1 Au 2.66
Ga: 0.8235 0.3394 0.6606  2 Ga 2.54-2.56, 1 Au 2.71
Au: 0.1683 0.1683 0.8317  3 Ga 2.66-2.71
Au: 0.8317 0.8317 0.1683  3 Ga 2.66-2.71

---

(13)
This record from Alexandria describes a relaxed MnCdW2 crystal. The functional is PBE.

Results
M_tot: 2.55 μB per formula unit
DFT total energy: -8.445 eV per atom
Symmetry: I4/mmm
DFT formation energy: 0.5527 eV/atom

Unit cell a=5.1818 b=5.1818 c=5.1818 alpha=136.70 beta=136.70 gamma=62.90
With the nearest neighbours (Å) after each atom.
Atoms (fractional coordinates):
Mn: 0.0000 0.0000 0.0000  4 Cd 2.70, 8 W 2.92
Cd: 0.5000 0.5000 0.0000  4 Mn 2.70, 8 W 2.92
W: 0.2500 0.7500 0.5000  4 W 2.70, 4 Cd 2.92, 4 Mn 2.92
W: 0.7500 0.2500 0.5000  4 W 2.70, 4 Cd 2.92, 4 Mn 2.92